A relaxed structure of MnFeNi2, computed with PBE.

Lattice parameters (Å, degrees): 4.3866 4.3866 4.3536 80.80 80.80 33.10
Atoms (fractional coordinates):
Ni: 0.5006 0.5006 0.4980
Ni: 0.9994 0.9994 0.0020
Fe: 0.2500 0.2500 0.2500
Mn: 0.7500 0.7500 0.7500

Computed properties:
Its crystal system is monoclinic.


A relaxed structure of LaSm2Y8, computed with PBE.

Lattice parameters (Å, degrees): 5.5505 8.2088 9.5082 115.57 106.97 90.00
Atoms (fractional coordinates):
Y: 0.3589 0.5658 0.7178
Y: 0.1623 0.1623 0.3246
Y: 0.6411 0.4342 0.2822
Y: 0.6411 0.8480 0.2822
Y: 0.8377 0.8377 0.6754
Y: 0.3589 0.1520 0.7178
Y: 0.0000 0.7053 0.0000
Y: 0.0000 0.2947 0.0000
La: 0.5000 0.0000 0.0000
Sm: 0.8008 0.3008 0.6016
Sm: 0.1992 0.6992 0.3984

Computed properties:
Its crystal system is orthorhombic.


Summary of ΔH_f (0 K) in meV/atom
85, 112
(order as listed above)